Entry 1:
# Rb3Na2In4 (PBE, relaxed)
data_Rb3Na2In4
_cell_length_a 5.686
_cell_length_b 7.422
_cell_length_c 10.508
_cell_angle_alpha 69.43
_cell_angle_beta 75.32
_cell_angle_gamma 67.77
_space_group_name_H-M_alt 'P -1'
_space_group_IT_number 2
_space_group_name_Hall '-P 1'
loop_
_atom_site_label
_atom_site_type_symbol
_atom_site_fract_x
_atom_site_fract_y
_atom_site_fract_z
Rb1 Rb 0.000 0.000 0.000
Rb2 Rb 0.386 0.869 0.361
Na1 Na 0.315 0.616 0.757
In1 In 0.091 0.447 0.373
In2 In 0.250 0.411 0.084
# **Formation energy from the elements**: -0.048 eV per atom
# **Crystal system**: triclinic

---

Entry 2:
# Rb3NaIn (PBE, relaxed)
data_Rb3NaIn
_cell_length_a 7.186
_cell_length_b 7.186
_cell_length_c 7.186
_cell_angle_alpha 90.00
_cell_angle_beta 90.00
_cell_angle_gamma 90.00
_space_group_name_H-M_alt 'P m -3 m'
_space_group_IT_number 221
_space_group_name_Hall '-P 4 2 3'
loop_
_atom_site_label
_atom_site_type_symbol
_atom_site_fract_x
_atom_site_fract_y
_atom_site_fract_z
Rb1 Rb 0.000 0.000 0.500
Na1 Na 0.500 0.500 0.500
In1 In 0.000 0.000 0.000
# **Formation energy from the elements**: 0.174 eV per atom
# **ΔE to the lowest computed polymorph**: 0.000 eV per atom
# **Crystal system**: cubic

---

Entry 3:
# RbNaIn (PBE, relaxed)
data_RbNaIn
_cell_length_a 8.881
_cell_length_b 5.095
_cell_length_c 13.181
_cell_angle_alpha 90.00
_cell_angle_beta 102.86
_cell_angle_gamma 90.00
_space_group_name_H-M_alt 'C 1 m 1'
_space_group_IT_number 8
_space_group_name_Hall 'C -2y'
loop_
_atom_site_label
_atom_site_type_symbol
_atom_site_fract_x
_atom_site_fract_y
_atom_site_fract_z
Rb1 Rb 0.000 0.000 0.000
Rb2 Rb 0.225 0.000 0.692
Na1 Na 0.400 0.000 0.215
Na2 Na 0.485 0.000 0.476
In1 In 0.108 0.000 0.346
In2 In 0.276 0.500 0.345
# **Formation energy from the elements**: -0.035 eV per atom
# **ΔE to the lowest computed polymorph**: 0.012 eV per atom
# **Crystal system**: monoclinic

---

Entry 4:
# RbNaIn (PBE, relaxed)
data_RbNaIn
_cell_length_a 5.747
_cell_length_b 13.918
_cell_length_c 6.252
_cell_angle_alpha 90.00
_cell_angle_beta 90.00
_cell_angle_gamma 90.00
_space_group_name_H-M_alt 'C m c m'
_space_group_IT_number 63
_space_group_name_Hall '-C 2c 2'
loop_
_atom_site_label
_atom_site_type_symbol
_atom_site_fract_x
_atom_site_fract_y
_atom_site_fract_z
Rb1 Rb 0.000 0.227 0.250
Na1 Na 0.000 0.500 0.000
In1 In 0.000 0.046 0.750
# **Formation energy from the elements**: -0.026 eV per atom
# **ΔE to the lowest computed polymorph**: 0.021 eV per atom
# **Crystal system**: orthorhombic

---

Entry 5:
# RbNaIn (PBE, relaxed)
data_RbNaIn
_cell_length_a 6.512
_cell_length_b 5.202
_cell_length_c 8.021
_cell_angle_alpha 90.00
_cell_angle_beta 92.07
_cell_angle_gamma 90.00
_space_group_name_H-M_alt 'P 1 21/m 1'
_space_group_IT_number 11
_space_group_name_Hall '-P 2yb'
loop_
_atom_site_label
_atom_site_type_symbol
_atom_site_fract_x
_atom_site_fract_y
_atom_site_fract_z
Rb1 Rb 0.227 0.250 0.370
Na1 Na 0.375 0.250 0.887
In1 In 0.115 0.750 0.029
# **Formation energy from the elements**: -0.045 eV per atom
# **ΔE to the lowest computed polymorph**: 0.001 eV per atom
# **Crystal system**: monoclinic

---

Entry 6:
# RbNaIn6 (PBE, relaxed)
data_RbNaIn6
_cell_length_a 5.094
_cell_length_b 7.575
_cell_length_c 6.535
_cell_angle_alpha 90.00
_cell_angle_beta 90.00
_cell_angle_gamma 90.00
_space_group_name_H-M_alt 'P m m 2'
_space_group_IT_number 25
_space_group_name_Hall 'P 2 -2'
loop_
_atom_site_label
_atom_site_type_symbol
_atom_site_fract_x
_atom_site_fract_y
_atom_site_fract_z
Rb1 Rb 0.000 0.000 0.000
Na1 Na 0.500 0.500 0.254
In1 In 0.000 0.283 0.477
In2 In 0.000 0.500 0.935
In3 In 0.500 0.000 0.431
In4 In 0.500 0.296 0.762
# **Formation energy from the elements**: -0.038 eV per atom
# **Crystal system**: orthorhombic

---

Entry 7:
# RbNa2In2 (PBE, relaxed)
data_RbNa2In2
_cell_length_a 13.536
_cell_length_b 5.118
_cell_length_c 6.343
_cell_angle_alpha 90.00
_cell_angle_beta 113.03
_cell_angle_gamma 90.00
_space_group_name_H-M_alt 'C 1 2/m 1'
_space_group_IT_number 12
_space_group_name_Hall '-C 2y'
loop_
_atom_site_label
_atom_site_type_symbol
_atom_site_fract_x
_atom_site_fract_y
_atom_site_fract_z
Rb1 Rb 0.000 0.000 0.000
Na1 Na 0.166 0.500 0.550
In1 In 0.236 0.500 0.103
# **Formation energy from the elements**: -0.040 eV per atom
# **ΔE to the lowest computed polymorph**: 0.002 eV per atom
# **Crystal system**: monoclinic

---

Entry 8:
# Rb2Na2In15 (PBE, relaxed)
data_Rb2Na2In15
_cell_length_a 10.9060
_cell_length_b 10.9060
_cell_length_c 16.4980
_cell_angle_alpha 90.00
_cell_angle_beta 90.00
_cell_angle_gamma 120.00
_space_group_name_H-M_alt 'R -3 m'
_space_group_IT_number 166
_space_group_name_Hall '-R 3 2"'
loop_
_atom_site_label
_atom_site_type_symbol
_atom_site_fract_x
_atom_site_fract_y
_atom_site_fract_z
Rb1 Rb 0.0000 0.0000 0.1602
Na1 Na 0.0000 0.0000 0.3981
In1 In 0.0000 0.2922 0.5000
In2 In 0.0000 0.5000 0.0000
In3 In 0.0076 0.5038 0.6451
# **Formation energy from the elements**: -0.060 eV per atom
# **Crystal system**: trigonal

---

Entry 9:
# RbNa2In2 (PBE, relaxed)
data_RbNa2In2
_cell_length_a 5.303
_cell_length_b 8.541
_cell_length_c 8.967
_cell_angle_alpha 90.00
_cell_angle_beta 90.00
_cell_angle_gamma 90.00
_space_group_name_H-M_alt 'C m m m'
_space_group_IT_number 65
_space_group_name_Hall '-C 2 2'
loop_
_atom_site_label
_atom_site_type_symbol
_atom_site_fract_x
_atom_site_fract_y
_atom_site_fract_z
Rb1 Rb 0.000 0.000 0.000
Na1 Na 0.000 0.500 0.313
In1 In 0.000 0.170 0.500
# **Formation energy from the elements**: -0.038 eV per atom
# **ΔE to the lowest computed polymorph**: 0.004 eV per atom
# **Crystal system**: orthorhombic

---

Entry 10:
# RbNa4In2 (PBE, relaxed)
data_RbNa4In2
_cell_length_a 10.603
_cell_length_b 8.456
_cell_length_c 6.591
_cell_angle_alpha 90.00
_cell_angle_beta 126.90
_cell_angle_gamma 90.00
_space_group_name_H-M_alt 'C 1 2/m 1'
_space_group_IT_number 12
_space_group_name_Hall '-C 2y'
loop_
_atom_site_label
_atom_site_type_symbol
_atom_site_fract_x
_atom_site_fract_y
_atom_site_fract_z
Rb1 Rb 0.000 0.000 0.000
Na1 Na 0.202 0.202 0.701
In1 In 0.002 0.500 0.752
# **Formation energy from the elements**: -0.038 eV per atom
# **Crystal system**: monoclinic

---

Entry 11:
# RbNaIn (PBE, relaxed)
data_RbNaIn
_cell_length_a 6.909
_cell_length_b 5.370
_cell_length_c 7.586
_cell_angle_alpha 90.00
_cell_angle_beta 116.83
_cell_angle_gamma 90.00
_space_group_name_H-M_alt 'P 1 m 1'
_space_group_IT_number 6
_space_group_name_Hall 'P -2y'
loop_
_atom_site_label
_atom_site_type_symbol
_atom_site_fract_x
_atom_site_fract_y
_atom_site_fract_z
Rb1 Rb 0.000 0.000 0.000
Rb2 Rb 0.468 0.500 0.003
Na1 Na 0.359 0.000 0.538
Na2 Na 0.645 0.500 0.540
In1 In 0.057 0.500 0.427
In2 In 0.834 0.000 0.425
# **Formation energy from the elements**: -0.046 eV per atom
# **ΔE to the lowest computed polymorph**: 0.000 eV per atom
# **Crystal system**: monoclinic

---

Entry 12:
# RbNaIn (PBE, relaxed)
data_RbNaIn
_cell_length_a 13.052
_cell_length_b 5.866
_cell_length_c 9.022
_cell_angle_alpha 90.00
_cell_angle_beta 133.32
_cell_angle_gamma 90.00
_space_group_name_H-M_alt 'C 1 m 1'
_space_group_IT_number 8
_space_group_name_Hall 'C -2y'
loop_
_atom_site_label
_atom_site_type_symbol
_atom_site_fract_x
_atom_site_fract_y
_atom_site_fract_z
Rb1 Rb 0.000 0.000 0.000
Rb2 Rb 0.003 0.500 0.355
Na1 Na 0.184 0.500 0.956
Na2 Na 0.318 0.000 0.586
In1 In 0.155 0.000 0.750
In2 In 0.351 0.500 0.441
# **Formation energy from the elements**: -0.011 eV per atom
# **ΔE to the lowest computed polymorph**: 0.035 eV per atom
# **Crystal system**: monoclinic

---

| no. | total DFT energy (no corrections) (eV per atom) |
| --- | --- |
| 1 | -1.88 |
| 2 | -1.22 |
| 3 | -1.71 |
| 4 | -1.70 |
| 5 | -1.72 |
| 6 | -2.38 |
| 7 | -1.86 |
| 8 | -2.46 |
| 9 | -1.85 |
| 10 | -1.71 |
| 11 | -1.72 |
| 12 | -1.69 |